VASP calculation (PBE) on a relaxed structure of HfV3Br.

Values from the calculation:
Magnetization in μB/cell: 0.001
Fermi-level density of states in states/eV/cell: 5.52
Energy relative to the elements, uncorrected in meV/atom: 802.2
Calculated total energy in eV per atom: -6.99

Lattice parameters (Å, degrees): 4.478 4.478 4.478 90.00 90.00 90.00
Element x y z (fractional)
1 Hf 0.500 0.500 0.500
2 Br 0.000 0.000 0.000
3 V 0.000 0.500 0.000
4 V 0.000 0.000 0.500
5 V 0.500 0.000 0.000